! La3GePb, relaxed, DFT GGA-PBE; values from VASP
&SYSTEM
  ibrav = 0, nat = 5, ntyp = 3
/
ATOMIC_SPECIES
La 138.91 La.upf
Ge 72.64 Ge.upf
Pb 207.20 Pb.upf
CELL_PARAMETERS angstrom
5.734 0.000 0.000
0.000 5.734 0.000
0.000 0.000 5.734
ATOMIC_POSITIONS angstrom
La 0.000 0.000 2.867
La 0.000 2.867 0.000
La 2.867 0.000 0.000
Ge 0.000 0.000 0.000
Pb 2.867 2.867 2.867
! E_tot = -5.0348 eV per atom
! crystal system = cubic
! ΔE to the lowest computed polymorph = 186.0 meV per atom